Ce2Dy15Tm2 after structural relaxation, computed with PBE.

Theoretical density, g cm⁻³: 8.1
DFT total energy, eV for the cell shown: -251.91
D(E_F), states/eV per cell: 108.1
Formation energy, meV per atom: 309

Cell lengths 11.0726, 11.0726, 17.6706 Å; angles 90.00, 90.00, 120.00 degrees
Space group R-3m (No. 166, hexagonal axes)
Asymmetric unit:
Ce: 0.0000 0.0000 0.0750
Dy: 0.0000 0.3040 0.0000
Dy: 0.0000 0.5000 0.5000
Dy: 0.0097 0.5048 0.1377
Tm: 0.0000 0.0000 0.3170